Below is a geometry-optimized Sc2SiAu structure, with properties calculated at the PBE level.

## Properties
Density of states at the Fermi level ... 3.02 states/eV/cell
E ... -6.001 eV/atom
Formation energy without anion corrections ... -661 meV/atom
M_tot ... 0.00 μB/f.u.

Cell: 3.3307 3.3307 6.8161 Å, 90.00 90.00 90.00°
With the nearest neighbours (Å) after each atom.
Element x y z (fractional)
Sc 0.0000 0.0000 0.2409  4 Si 2.87, 4 Au 2.94
Sc 0.0000 0.0000 0.7591  4 Si 2.87, 4 Au 2.94
Si 0.5000 0.5000 0.0000  8 Sc 2.87
Au 0.5000 0.5000 0.5000  8 Sc 2.94

Below is a geometry-optimized CsRb2Na2 structure, with properties calculated at the PBE level.

## Properties
Density of states at the Fermi level ... 6.47 states/eV/cell
Offset from the most stable computed form ... 0.000 eV per atom
E ... -1.056 eV/atom
M_tot ... 0.00 μB/f.u.
Calculated formation energy ... 30 meV per atom

Cell: 11.7812 11.7812 5.1169 Å, 90.00 90.00 90.00°
With the nearest neighbours (Å) after each atom.
Element x y z (fractional)
Cs 0.0000 0.0000 0.0000  4 Na 4.69, 8 Rb 5.07, 2 Cs 5.12
Cs 0.5000 0.5000 0.0000  4 Na 4.69, 8 Rb 5.07, 2 Cs 5.12
Rb 0.1682 0.3318 0.5000  6 Na 4.29-4.35
Rb 0.3318 0.8318 0.5000  6 Na 4.29-4.35
Rb 0.6682 0.1682 0.5000  6 Na 4.29-4.35
Rb 0.8318 0.6682 0.5000  6 Na 4.29-4.35
Na 0.1205 0.6205 0.0000  1 Na 4.01, 6 Rb 4.29-4.35
Na 0.3795 0.1205 0.0000  1 Na 4.01, 6 Rb 4.29-4.35
Na 0.6205 0.8795 0.0000  1 Na 4.01, 6 Rb 4.29-4.35
Na 0.8795 0.3795 0.0000  1 Na 4.01, 6 Rb 4.29-4.35

Below is a geometry-optimized Pm8Pr2Tm3 structure, with properties calculated at the PBE level.

## Properties
Density of states at the Fermi level ... 19.88 states/eV/cell
Offset from the most stable computed form ... 0.000 eV per atom
E ... -4.670 eV/atom
M_tot ... 0.00 μB/f.u.
Calculated formation energy ... 21 meV per atom

Cell: 6.2668 6.2762 11.4624 Å, 89.94 79.44 80.40°
With the nearest neighbours (Å) after each atom.
Element x y z (fractional)
Pm 0.0400 0.0806 0.3502  6 Pm 3.55-3.63, 5 Tm 3.57-3.63, 1 Pr 3.65
Pm 0.1926 0.3808 0.7249  4 Tm 3.54-3.61, 6 Pm 3.62-3.63, 2 Pr 3.67-3.70
Pm 0.3468 0.6922 0.1198  1 Tm 3.60, 7 Pm 3.61-3.73, 4 Pr 3.63-3.67
Pm 0.4228 0.8431 0.8023  2 Tm 3.57-3.59, 7 Pm 3.61-3.73, 3 Pr 3.63-3.68
Pm 0.5772 0.1569 0.1977  2 Tm 3.57-3.59, 7 Pm 3.61-3.73, 3 Pr 3.63-3.68
Pm 0.6532 0.3078 0.8802  1 Tm 3.60, 7 Pm 3.61-3.73, 4 Pr 3.63-3.67
Pm 0.8074 0.6192 0.2751  4 Tm 3.54-3.61, 6 Pm 3.62-3.63, 2 Pr 3.67-3.70
Pm 0.9600 0.9194 0.6498  6 Pm 3.55-3.63, 5 Tm 3.57-3.63, 1 Pr 3.65
Pr 0.1162 0.2305 0.0399  10 Pm 3.63-3.70, 2 Pr 3.64
Pr 0.8838 0.7695 0.9601  10 Pm 3.63-3.70, 2 Pr 3.64
Tm 0.2708 0.5396 0.4255  8 Pm 3.54-3.63, 4 Tm 3.57-3.62
Tm 0.5000 0.0000 0.5000  8 Pm 3.57-3.62, 4 Tm 3.60-3.62
Tm 0.7292 0.4604 0.5745  8 Pm 3.54-3.63, 4 Tm 3.57-3.62

Below is a geometry-optimized La6PrIn2 structure, with properties calculated at the PBE level.

## Properties
Density of states at the Fermi level ... 10.10 states/eV/cell
Offset from the most stable computed form ... 0.000 eV per atom
E ... -4.650 eV/atom
M_tot ... 0.00 μB/f.u.
Calculated formation energy ... -225 meV per atom

Cell: 8.2474 8.2474 8.3583 Å, 108.91 108.91 33.93°
With the nearest neighbours (Å) after each atom.
Element x y z (fractional)
La 0.0977 0.0977 0.1446  1 La 3.21, 4 In 3.53
La 0.2232 0.2232 0.8445  8 La 3.43-3.73, 3 In 3.49-3.63, 1 Pr 3.72
La 0.3312 0.3312 0.5105  7 La 3.48-3.73, 2 Pr 3.61, 2 In 3.64-3.72
La 0.6688 0.6688 0.4895  7 La 3.48-3.73, 2 Pr 3.61, 2 In 3.64-3.72
La 0.7768 0.7768 0.1555  8 La 3.43-3.73, 3 In 3.49-3.63, 1 Pr 3.72
La 0.9023 0.9023 0.8554  1 La 3.21, 4 In 3.53
Pr 0.0000 0.0000 0.5000  4 In 3.48, 8 La 3.61-3.78
In 0.4415 0.4415 0.1808  2 Pr 3.48, 9 La 3.49-3.72
In 0.5585 0.5585 0.8192  2 Pr 3.48, 9 La 3.49-3.72

Below is a geometry-optimized CeNdSmTh structure, with properties calculated at the PBE level.

## Properties
Density of states at the Fermi level ... 7.13 states/eV/cell
Offset from the most stable computed form ... 0.000 eV per atom
E ... -5.670 eV/atom
M_tot ... 0.00 μB/f.u.
Calculated formation energy ... 41 meV per atom

Cell: 3.5772 3.5772 11.8189 Å, 98.74 98.74 60.02°
With the nearest neighbours (Å) after each atom.
Element x y z (fractional)
Ce 0.0000 0.0000 0.0000  3 Th 3.44-3.45, 3 Sm 3.52, 6 Ce 3.58
Nd 0.1698 0.1698 0.5128  3 Th 3.57, 6 Nd 3.58, 3 Sm 3.74
Sm 0.4148 0.4148 0.2451  3 Ce 3.52, 6 Sm 3.58, 3 Nd 3.74
Th 0.5866 0.5866 0.7631  3 Ce 3.44-3.45, 3 Nd 3.57, 6 Th 3.58

Below is a geometry-optimized Be3TlAu structure, with properties calculated at the PBE level.

## Properties
Density of states at the Fermi level ... 1.22 states/eV/cell
Offset from the most stable computed form ... 0.000 eV per atom
E ... -2.901 eV/atom
M_tot ... 0.00 μB/f.u.
Calculated formation energy ... 464 meV per atom

Cell: 4.4808 4.4808 4.4808 Å, 90.00 90.00 90.00°
With the nearest neighbours (Å) after each atom.
Element x y z (fractional)
Be 0.0000 0.0000 0.5000  2 Au 2.24
Be 0.0000 0.5000 0.0000  2 Au 2.24
Be 0.5000 0.0000 0.0000  2 Au 2.24
Tl 0.5000 0.5000 0.5000  12 Be 3.17
Au 0.0000 0.0000 0.0000  6 Be 2.24

Below is a geometry-optimized HfBeOs3 structure, with properties calculated at the PBE level.

## Properties
Density of states at the Fermi level ... 6.90 states/eV/cell
Offset from the most stable computed form ... 2.574 eV per atom
E ... -6.821 eV/atom
M_tot ... 1.24 μB/f.u.
Calculated formation energy ... 2653 meV per atom

Cell: 4.7786 4.7786 4.7786 Å, 90.00 90.00 90.00°
With the nearest neighbours (Å) after each atom.
Element x y z (fractional)
Hf 0.0000 0.0000 0.0000  6 Os 2.39
Be 0.5000 0.5000 0.5000  12 Os 3.38
Os 0.0000 0.0000 0.5000  2 Hf 2.39
Os 0.0000 0.5000 0.0000  2 Hf 2.39
Os 0.5000 0.0000 0.0000  2 Hf 2.39

Below is a geometry-optimized Mn2Co2H3 structure, with properties calculated at the PBE level.

## Properties
Density of states at the Fermi level ... 7.27 states/eV/cell
Offset from the most stable computed form ... 0.000 eV per atom
E ... -6.060 eV/atom
M_tot ... 4.22 μB/f.u.

Cell: 4.4915 4.4915 4.4828 Å, 100.79 100.79 33.75°
With the nearest neighbours (Å) after each atom.
Element x y z (fractional)
Mn 0.1222 0.1222 0.3601  5 H 1.86-1.88
Mn 0.8778 0.8778 0.6399  5 H 1.86-1.88
Co 0.3790 0.3790 0.1275  4 H 1.79-1.83
Co 0.6210 0.6210 0.8725  4 H 1.79-1.83
H 0.2459 0.2459 0.7556  3 Co 1.83, 3 Mn 1.87-1.88
H 0.5000 0.5000 0.5000  2 Co 1.79, 4 Mn 1.86
H 0.7541 0.7541 0.2444  3 Co 1.83, 3 Mn 1.87-1.88

Below is a geometry-optimized Tm5TcAg4 structure, with properties calculated at the PBE level.

## Properties
Density of states at the Fermi level ... 7.20 states/eV/cell
E ... -4.702 eV/atom
M_tot ... 0.00 μB/f.u.
Calculated formation energy ... -289 meV per atom

Cell: 3.5079 3.5079 18.1137 Å, 90.00 90.00 90.00°
With the nearest neighbours (Å) after each atom.
Element x y z (fractional)
Tm 0.0000 0.0000 0.0000  8 Ag 3.08
Tm 0.0000 0.0000 0.2035  8 Ag 3.10
Tm 0.0000 0.0000 0.4120  4 Tc 2.95, 4 Ag 3.14, 1 Tm 3.19
Tm 0.0000 0.0000 0.5880  4 Tc 2.95, 4 Ag 3.14, 1 Tm 3.19
Tm 0.0000 0.0000 0.7965  8 Ag 3.10
Tc 0.5000 0.5000 0.5000  8 Tm 2.95
Ag 0.5000 0.5000 0.1010  8 Tm 3.08-3.10
Ag 0.5000 0.5000 0.3061  8 Tm 3.10-3.14
Ag 0.5000 0.5000 0.6939  8 Tm 3.10-3.14
Ag 0.5000 0.5000 0.8990  8 Tm 3.08-3.10

Below is a geometry-optimized K3Na2CuF9 structure, with properties calculated at the PBE level.

## Properties
Density of states at the Fermi level ... 12.26 states/eV/cell
E ... -4.061 eV/atom
Formation energy without anion corrections ... -2270 meV/atom
M_tot ... 2.22 μB/f.u.

Cell: 5.9625 5.9625 7.4589 Å, 90.00 90.00 120.00°
With the nearest neighbours (Å) after each atom.
Element x y z (fractional)
K 0.0000 0.0000 0.0000  12 F 2.98-3.06
K 0.3333 0.6667 0.6975  9 F 2.84-3.01
K 0.6667 0.3333 0.3025  9 F 2.84-3.01
Na 0.3333 0.6667 0.1855  6 F 2.21-2.27
Na 0.6667 0.3333 0.8145  6 F 2.21-2.27
Cu 0.0000 0.0000 0.5000  6 F 1.90
F 0.0000 0.5000 0.0000  2 Na 2.21
F 0.1502 0.3004 0.3534  1 Cu 1.90
F 0.1502 0.8498 0.3534  1 Cu 1.90
F 0.3004 0.1502 0.6466  1 Cu 1.90
F 0.5000 0.0000 0.0000  2 Na 2.21
F 0.5000 0.5000 0.0000  2 Na 2.21
F 0.6996 0.8498 0.3534  1 Cu 1.90
F 0.8498 0.1502 0.6466  1 Cu 1.90
F 0.8498 0.6996 0.6466  1 Cu 1.90

Below is a geometry-optimized ZrNbCoNi structure, with properties calculated at the PBE level.

## Properties
Density of states at the Fermi level ... 5.46 states/eV/cell
E ... -8.021 eV/atom
M_tot ... 0.81 μB/f.u.
Calculated formation energy ... -145 meV per atom

Cell: 4.4461 4.4461 4.4461 Å, 60.00 60.00 60.00°
With the nearest neighbours (Å) after each atom.
Element x y z (fractional)
Zr 0.0000 0.0000 0.0000  4 Co 2.72, 4 Ni 2.72
Nb 0.5000 0.5000 0.5000  4 Co 2.72, 4 Ni 2.72
Co 0.7500 0.7500 0.7500  4 Nb 2.72, 4 Zr 2.72
Ni 0.2500 0.2500 0.2500  4 Nb 2.72, 4 Zr 2.72

Below is a geometry-optimized MgMo2Pt structure, with properties calculated at the PBE level.

## Properties
Density of states at the Fermi level ... 1.70 states/eV/cell
E ... -7.416 eV/atom
M_tot ... 0.00 μB/f.u.
Calculated formation energy ... -91 meV per atom

Cell: 3.2436 3.2436 6.1901 Å, 90.00 90.00 90.00°
With the nearest neighbours (Å) after each atom.
Element x y z (fractional)
Mg 0.0000 0.0000 0.0000  4 Pt 2.70, 4 Mo 2.89
Mo 0.0000 0.0000 0.4906  4 Mo 2.63, 4 Pt 2.87
Mo 0.5000 0.5000 0.2836  4 Mo 2.63, 4 Mg 2.89
Pt 0.5000 0.5000 0.7701  4 Mg 2.70, 5 Mo 2.87-3.01